VASP calculation (PBE with a Hubbard U) on an optimized crystal structure of K2CoH2S2O8.

a = 14.5778 Å, b = 4.9448 Å, c = 7.1916 Å
α = 59.98°, β = 90.00°, γ = 90.00°
Each line ends with the local moment (μB).
Atoms (fractional coordinates):
K (0.6577, 0.3730, 0.8963)  0.00
K (0.3423, 0.6270, 0.1037)  0.00
K (0.1577, 0.6270, 0.6037)  0.00
K (0.8423, 0.3730, 0.3963)  0.00
Co (0.0000, 0.0000, 0.0000)  1.97
Co (0.5000, 0.0000, 0.5000)  1.97
H (0.4094, 0.9543, 0.3995)  0.14
H (0.5906, 0.0457, 0.6005)  0.14
H (0.9094, 0.0457, 0.1005)  0.14
H (0.0906, 0.9543, 0.8995)  0.14
S (0.1058, 0.3827, 0.1980)  0.01
S (0.8942, 0.6173, 0.8020)  0.01
S (0.6058, 0.6173, 0.3020)  0.01
S (0.3942, 0.3827, 0.6980)  0.01
O (0.1567, 0.6023, 0.9973)  0.08
O (0.8433, 0.3977, 0.0027)  0.08
O (0.6567, 0.3977, 0.5027)  0.08
O (0.3433, 0.6023, 0.4973)  0.08
O (0.0805, 0.0899, 0.1942)  0.05
O (0.9195, 0.9101, 0.8058)  0.05
O (0.5805, 0.9101, 0.3058)  0.05
O (0.4195, 0.0899, 0.6942)  0.05
O (0.0186, 0.5396, 0.2104)  0.03
O (0.9814, 0.4604, 0.7896)  0.03
O (0.5186, 0.4604, 0.2896)  0.03
O (0.4814, 0.5396, 0.7104)  0.03
O (0.1631, 0.2897, 0.3892)  0.02
O (0.8369, 0.7103, 0.6108)  0.02
O (0.6631, 0.7103, 0.1108)  0.02
O (0.3369, 0.2897, 0.8892)  0.02

Output
SG: No. 14
Energy: -5.30 eV/atom
Magnetic moment: 3.00 μB/f.u.